Material: Pm5Sm2Ho
Method: DFT, GGA-PBE
State: relaxed

Output
Polymorph energy (0 for the lowest one)   0.00 kJ per mole of atoms
ΔH_f (0 K)   0.01 eV per atom
Total magnetization   0.00 μB per cell

abc: 7.262 14.536 5.121
angles: 90.00 90.00 90.00
Space group Pbam (No. 55)
Unique sites:
Pm 0.000 0.000 0.000
Pm 0.001 0.251 0.000
Pm 0.250 0.376 0.500
Sm 0.249 0.624 0.500
Ho 0.000 0.500 0.000